Computed, not measured: a geometry-optimized NaCo3O6 structure at the PBE+U level of DFT.

The structure in POSCAR format:
```
NaCo3O6
1.0
-0.091 -0.756 -4.842
2.503 -3.038 2.890
-3.752 -4.299 1.595
O Co Na
6 3 1
direct
0.666 0.605 0.171
0.667 0.062 0.829
0.333 0.387 0.829
0.333 0.946 0.171
0.000 0.729 0.829
0.000 0.272 0.171
0.668 0.334 0.000
0.999 0.999 0.000
0.333 0.667 0.000
0.333 0.167 0.500
```

Output
Space-group type: C2/m, No. 12
Spin magnetization: 1.922 Bohr magnetons per cell
Excess energy over the best structure of this formula in the dataset: 0.000 eV/f.u.